Entry 1:
Here is crystalline AlFeSi2 at its relaxed geometry from the Alexandria database. Energies are from PBEsol.

```
data_AlFeSi2
_chemical_formula_sum 'Al1 Fe1 Si2'
_cell_length_a 2.8260
_cell_length_b 3.3374
_cell_length_c 5.1988
_cell_angle_alpha 90.00
_cell_angle_beta 90.00
_cell_angle_gamma 90.00
_symmetry_space_group_name_H-M 'P 1'
_symmetry_Int_Tables_number 1
loop_
_symmetry_equiv_pos_as_xyz
'x,y,z'
loop_
_atom_site_label
_atom_site_type_symbol
_atom_site_fract_x
_atom_site_fract_y
_atom_site_fract_z
_atom_site_occupancy
Al1 Al 0.0000 0.0000 0.5024 1
Si1 Si 0.0000 0.0000 0.9768 1
Fe1 Fe 0.5000 0.5000 0.7826 1
Si2 Si 0.5000 0.5000 0.2382 1
```

Properties
- theoretical density (g/cm3) = 4.71
- E_form (uncorrected) (eV per atom) = -0.1005


Entry 2:
Here is crystalline Hg4AsRu at its relaxed geometry from the Alexandria database. Energies are from PBEsol.

```
data_Hg4AsRu
_chemical_formula_sum 'Hg4 As1 Ru1'
_cell_length_a 5.5443
_cell_length_b 5.5443
_cell_length_c 5.5443
_cell_angle_alpha 60.00
_cell_angle_beta 60.00
_cell_angle_gamma 60.00
_symmetry_space_group_name_H-M 'P 1'
_symmetry_Int_Tables_number 1
loop_
_symmetry_equiv_pos_as_xyz
'x,y,z'
loop_
_atom_site_label
_atom_site_type_symbol
_atom_site_fract_x
_atom_site_fract_y
_atom_site_fract_z
_atom_site_occupancy
As1 As 0.0000 0.0000 0.0000 1
Hg1 Hg 0.3754 0.8738 0.3754 1
Hg2 Hg 0.3754 0.3754 0.8738 1
Hg3 Hg 0.3754 0.3754 0.3754 1
Ru1 Ru 0.7500 0.7500 0.7500 1
Hg4 Hg 0.8738 0.3754 0.3754 1
```

Properties
- theoretical density (g/cm3) = 13.48
- ΔE_f (kJ per mole of atoms) = 72.35


Entry 3:
Here is crystalline LuAlFe at its relaxed geometry from the Alexandria database. Energies are from PBEsol.

```
data_LuAlFe
_chemical_formula_sum 'Lu4 Al4 Fe4'
_cell_length_a 5.2230
_cell_length_b 5.2383
_cell_length_c 8.3206
_cell_angle_alpha 90.00
_cell_angle_beta 90.00
_cell_angle_gamma 119.90
_symmetry_space_group_name_H-M 'P 1'
_symmetry_Int_Tables_number 1
loop_
_symmetry_equiv_pos_as_xyz
'x,y,z'
loop_
_atom_site_label
_atom_site_type_symbol
_atom_site_fract_x
_atom_site_fract_y
_atom_site_fract_z
_atom_site_occupancy
Lu1 Lu 0.6685 0.3369 0.1839 1
Al1 Al 0.3267 0.1648 0.5000 1
Al2 Al 0.8355 0.6709 0.5000 1
Al3 Al 0.1650 0.3301 0.0000 1
Fe1 Fe 0.1722 0.8408 0.0000 1
Fe2 Fe 0.9900 0.9800 0.7635 1
Fe3 Fe 0.6686 0.8408 0.0000 1
Lu2 Lu 0.6685 0.3369 0.8161 1
Fe4 Fe 0.9900 0.9800 0.2365 1
Lu3 Lu 0.3385 0.6770 0.7015 1
Lu4 Lu 0.3385 0.6770 0.2985 1
Al4 Al 0.8381 0.1648 0.5000 1
```

Properties
- theoretical density (g/cm3) = 8.68
- ΔE_f (kJ per mole of atoms) = -32.01


Entry 4:
Here is crystalline NaLiAs2S4 at its relaxed geometry from the Alexandria database. Energies are from PBEsol.

```
data_NaLiAs2S4
_chemical_formula_sum 'Na1 Li1 As2 S4'
_cell_length_a 5.4197
_cell_length_b 5.4923
_cell_length_c 6.5248
_cell_angle_alpha 67.48
_cell_angle_beta 68.12
_cell_angle_gamma 89.71
_symmetry_space_group_name_H-M 'P 1'
_symmetry_Int_Tables_number 1
loop_
_symmetry_equiv_pos_as_xyz
'x,y,z'
loop_
_atom_site_label
_atom_site_type_symbol
_atom_site_fract_x
_atom_site_fract_y
_atom_site_fract_z
_atom_site_occupancy
S1 S 0.2292 0.4629 0.4849 1
Li1 Li 0.0187 0.2502 0.9643 1
S2 S 0.4925 0.2606 0.9944 1
As1 As 0.3431 0.0934 0.3900 1
S3 S 0.7538 0.0830 0.4420 1
S4 S 0.0043 0.7357 0.9989 1
As2 As 0.8417 0.5245 0.3944 1
Na1 Na 0.5269 0.7804 0.9495 1
```

Properties
- theoretical density (g/cm3) = 3.11
- E_form (uncorrected) (eV per atom) = -0.6054


Entry 5:
Here is crystalline ZnSi2WCl at its relaxed geometry from the Alexandria database. Energies are from PBEsol.

```
data_ZnSi2WCl
_chemical_formula_sum 'Zn1 Si2 W1 Cl1'
_cell_length_a 4.4800
_cell_length_b 4.4800
_cell_length_c 4.7144
_cell_angle_alpha 90.00
_cell_angle_beta 90.00
_cell_angle_gamma 90.00
_symmetry_space_group_name_H-M 'P 1'
_symmetry_Int_Tables_number 1
loop_
_symmetry_equiv_pos_as_xyz
'x,y,z'
loop_
_atom_site_label
_atom_site_type_symbol
_atom_site_fract_x
_atom_site_fract_y
_atom_site_fract_z
_atom_site_occupancy
W1 W 0.5000 0.5000 0.5000 1
Si1 Si 0.5000 0.0000 0.0000 1
Cl1 Cl 0.0000 0.0000 0.5000 1
Zn1 Zn 0.0000 0.0000 0.0000 1
Si2 Si 0.0000 0.5000 0.0000 1
```

Properties
- theoretical density (g/cm3) = 5.98
- E_form (uncorrected) (eV per atom) = 1.5430


Entry 6:
Here is crystalline BeNiTeN2 at its relaxed geometry from the Alexandria database. Energies are from PBEsol.

```
data_BeNiTeN2
_chemical_formula_sum 'Be1 Ni1 Te1 N2'
_cell_length_a 3.4388
_cell_length_b 3.4388
_cell_length_c 5.4849
_cell_angle_alpha 90.00
_cell_angle_beta 90.00
_cell_angle_gamma 90.00
_symmetry_space_group_name_H-M 'P 1'
_symmetry_Int_Tables_number 1
loop_
_symmetry_equiv_pos_as_xyz
'x,y,z'
loop_
_atom_site_label
_atom_site_type_symbol
_atom_site_fract_x
_atom_site_fract_y
_atom_site_fract_z
_atom_site_occupancy
Te1 Te 0.0000 0.0000 0.5000 1
N1 N 0.5000 0.0000 0.0000 1
Ni1 Ni 0.5000 0.5000 0.5000 1
N2 N 0.0000 0.5000 0.0000 1
Be1 Be 0.0000 0.0000 0.0000 1
```

Properties
- theoretical density (g/cm3) = 5.72
- E_form (uncorrected) (eV per atom) = 1.1666


Entry 7:
Here is crystalline CaCd2Br at its relaxed geometry from the Alexandria database. Energies are from PBEsol.

```
data_CaCd2Br
_chemical_formula_sum 'Ca1 Cd2 Br1'
_cell_length_a 3.8043
_cell_length_b 5.7130
_cell_length_c 5.7043
_cell_angle_alpha 120.05
_cell_angle_beta 90.00
_cell_angle_gamma 90.00
_symmetry_space_group_name_H-M 'P 1'
_symmetry_Int_Tables_number 1
loop_
_symmetry_equiv_pos_as_xyz
'x,y,z'
loop_
_atom_site_label
_atom_site_type_symbol
_atom_site_fract_x
_atom_site_fract_y
_atom_site_fract_z
_atom_site_occupancy
Ca1 Ca 0.5000 0.5000 0.0000 1
Cd1 Cd 0.0000 0.0000 0.5000 1
Br1 Br 0.5000 0.0000 0.0000 1
Cd2 Cd 0.0000 0.5000 0.5000 1
```

Properties
- theoretical density (g/cm3) = 5.34
- E above lowest polymorph (kJ/mol of formula units) = 0.0
- E_form (uncorrected) (eV per atom) = -0.5011


Entry 8:
Here is crystalline Li2ZnAg2 at its relaxed geometry from the Alexandria database. Energies are from PBEsol.

```
data_Li2ZnAg2
_chemical_formula_sum 'Li2 Zn1 Ag2'
_cell_length_a 3.4331
_cell_length_b 3.4331
_cell_length_c 7.2621
_cell_angle_alpha 103.67
_cell_angle_beta 103.67
_cell_angle_gamma 90.00
_symmetry_space_group_name_H-M 'P 1'
_symmetry_Int_Tables_number 1
loop_
_symmetry_equiv_pos_as_xyz
'x,y,z'
loop_
_atom_site_label
_atom_site_type_symbol
_atom_site_fract_x
_atom_site_fract_y
_atom_site_fract_z
_atom_site_occupancy
Li1 Li 0.2500 0.7500 0.5000 1
Ag1 Ag 0.5986 0.5986 0.1971 1
Li2 Li 0.7500 0.2500 0.5000 1
Ag2 Ag 0.4014 0.4014 0.8029 1
Zn1 Zn 0.0000 0.0000 0.0000 1
```

Properties
- theoretical density (g/cm3) = 6.07
- E above lowest polymorph (kJ/mol of formula units) = 92.4
- ΔE_f (kJ per mole of atoms) = 10.01